Entry 1:
The following is a PBE calculation of crystalline CoHCS at its relaxed geometry, from Alexandria via LeMat-Bulk.

Calculated values
Electronic total energy ... -5.5501 eV per atom
Total magnetization ... 1.404 μB per formula unit

Structure (CIF):
```
data_CoHCS
_symmetry_space_group_name_H-M 'C 1 m 1'
_symmetry_Int_Tables_number 8
_cell_length_a 6.5707
_cell_length_b 2.9821
_cell_length_c 4.4428
_cell_angle_alpha 90.00
_cell_angle_beta 110.69
_cell_angle_gamma 90.00
loop_
_symmetry_equiv_pos_as_xyz
'x,y,z'
'x,-y,z'
'x+1/2,y+1/2,z'
'x+1/2,-y+1/2,z'
loop_
_atom_site_label
_atom_site_fract_x
_atom_site_fract_y
_atom_site_fract_z
Co1 0.0000 0.0000 0.0000
H1 0.2298 0.0000 0.6754
C1 0.4019 0.0000 0.6850
S1 0.3646 0.0000 0.2745
```

---

Entry 2:
The following is a PBE calculation of crystalline LiAc2CuPt2 at its relaxed geometry, from Alexandria via LeMat-Bulk.

Calculated values
Total magnetization ... 0.000 μB per formula unit
Energy relative to the elements ... -758 meV/atom

Structure (CIF):
```
data_LiAc2CuPt2
_symmetry_space_group_name_H-M 'I b a m'
_symmetry_Int_Tables_number 72
_symmetry_space_group_name_Hall '-I 2 2c'
_cell_length_a 6.0517
_cell_length_b 15.2623
_cell_length_c 6.0557
_cell_angle_alpha 90.00
_cell_angle_beta 90.00
_cell_angle_gamma 90.00
loop_
_atom_site_label
_atom_site_fract_x
_atom_site_fract_y
_atom_site_fract_z
Li1 0.0000 0.0000 0.2500
Ac1 0.2447 0.3399 0.0000
Cu1 0.0000 0.5000 0.2500
Pt1 0.2486 0.1187 0.0000
```

---

Number 2 is which compound?
LiAc2CuPt2

---

What did the first record say?
The following is a PBE calculation of crystalline CoHCS at its relaxed geometry, from Alexandria via LeMat-Bulk.

Calculated values
Electronic total energy ... -5.5501 eV per atom
Total magnetization ... 1.404 μB per formula unit

Structure (CIF):
```
data_CoHCS
_symmetry_space_group_name_H-M 'C 1 m 1'
_symmetry_Int_Tables_number 8
_cell_length_a 6.5707
_cell_length_b 2.9821
_cell_length_c 4.4428
_cell_angle_alpha 90.00
_cell_angle_beta 110.69
_cell_angle_gamma 90.00
loop_
_symmetry_equiv_pos_as_xyz
'x,y,z'
'x,-y,z'
'x+1/2,y+1/2,z'
'x+1/2,-y+1/2,z'
loop_
_atom_site_label
_atom_site_fract_x
_atom_site_fract_y
_atom_site_fract_z
Co1 0.0000 0.0000 0.0000
H1 0.2298 0.0000 0.6754
C1 0.4019 0.0000 0.6850
S1 0.3646 0.0000 0.2745
```